The following is a PBE calculation of an optimized crystal structure of CaAl2TlSi, from the Alexandria database.

- V (Å³ per cell) = 173
- formation energy (no corrections) (meV/atom) = 1025
- total magnetization (μB per cell) = 0.0

```
data_CaAl2TlSi
_chemical_formula_sum 'Ca1 Al2 Tl1 Si1'
_symmetry_space_group_name_H-M 'P 1'
_symmetry_Int_Tables_number 1
_symmetry_space_group_name_Hall 'P 1'
_cell_length_a 5.6720
_cell_length_b 5.6720
_cell_length_c 5.3728
_cell_angle_alpha 90.00
_cell_angle_beta 90.00
_cell_angle_gamma 90.00
loop_
_atom_site_label
_atom_site_type_symbol
_atom_site_fract_x
_atom_site_fract_y
_atom_site_fract_z
Ca1 Ca 0.0000 0.0000 0.0000
Al1 Al 0.0000 0.5000 0.0000
Al2 Al 0.5000 0.0000 0.0000
Tl1 Tl 0.5000 0.5000 0.5000
Si1 Si 0.0000 0.0000 0.5000
```

The following is a PBE calculation of an optimized crystal structure of CaAlTlSi2, from the Alexandria database.

- V (Å³ per cell) = 126
- formation energy (no corrections) (meV/atom) = 345
- total magnetization (μB per cell) = 0.0

```
data_CaAlTlSi2
_chemical_formula_sum 'Ca1 Al1 Tl1 Si2'
_symmetry_space_group_name_H-M 'P 1'
_symmetry_Int_Tables_number 1
_symmetry_space_group_name_Hall 'P 1'
_cell_length_a 4.8674
_cell_length_b 4.8674
_cell_length_c 5.3265
_cell_angle_alpha 90.00
_cell_angle_beta 90.00
_cell_angle_gamma 90.00
loop_
_atom_site_label
_atom_site_type_symbol
_atom_site_fract_x
_atom_site_fract_y
_atom_site_fract_z
Ca1 Ca 0.0000 0.0000 0.0000
Al1 Al 0.5000 0.5000 0.5000
Tl1 Tl 0.5000 0.5000 0.0000
Si1 Si 0.0000 0.5000 0.5000
Si2 Si 0.5000 0.0000 0.5000
```

The following is a PBE calculation of an optimized crystal structure of CaAlSi2W, from the Alexandria database.

- V (Å³ per cell) = 108
- formation energy (no corrections) (meV/atom) = 999
- total magnetization (μB per cell) = 1.2

```
data_CaAlSi2W
_chemical_formula_sum 'Ca1 Al1 Si2 W1'
_symmetry_space_group_name_H-M 'P 1'
_symmetry_Int_Tables_number 1
_symmetry_space_group_name_Hall 'P 1'
_cell_length_a 4.7458
_cell_length_b 4.7458
_cell_length_c 4.7741
_cell_angle_alpha 90.00
_cell_angle_beta 90.00
_cell_angle_gamma 90.00
loop_
_atom_site_label
_atom_site_type_symbol
_atom_site_fract_x
_atom_site_fract_y
_atom_site_fract_z
Ca1 Ca 0.0000 0.0000 0.0000
Al1 Al 0.5000 0.5000 0.5000
Si1 Si 0.0000 0.5000 0.5000
Si2 Si 0.5000 0.0000 0.5000
W1 W 0.5000 0.5000 0.0000
```

The following is a PBE calculation of an optimized crystal structure of CaYAlSi2, from the Alexandria database.

- V (Å³ per cell) = 132
- formation energy (no corrections) (meV/atom) = 796
- total magnetization (μB per cell) = 0.0

```
data_CaYAlSi2
_chemical_formula_sum 'Ca1 Y1 Al1 Si2'
_symmetry_space_group_name_H-M 'P 1'
_symmetry_Int_Tables_number 1
_symmetry_space_group_name_Hall 'P 1'
_cell_length_a 5.0966
_cell_length_b 5.0966
_cell_length_c 5.0823
_cell_angle_alpha 90.00
_cell_angle_beta 90.00
_cell_angle_gamma 90.00
loop_
_atom_site_label
_atom_site_type_symbol
_atom_site_fract_x
_atom_site_fract_y
_atom_site_fract_z
Ca1 Ca 0.0000 0.0000 0.0000
Y1 Y 0.5000 0.5000 0.5000
Al1 Al 0.0000 0.0000 0.5000
Si1 Si 0.0000 0.5000 0.0000
Si2 Si 0.5000 0.0000 0.0000
```

The following is a PBE calculation of an optimized crystal structure of CaAlZn2Si, from the Alexandria database.

- V (Å³ per cell) = 93
- formation energy (no corrections) (meV/atom) = -323
- total magnetization (μB per cell) = 0.0

```
data_CaAlZn2Si
_chemical_formula_sum 'Ca1 Al1 Zn2 Si1'
_symmetry_space_group_name_H-M 'P 1'
_symmetry_Int_Tables_number 1
_symmetry_space_group_name_Hall 'P 1'
_cell_length_a 6.2191
_cell_length_b 6.2191
_cell_length_c 6.2191
_cell_angle_alpha 141.69
_cell_angle_beta 140.91
_cell_angle_gamma 55.89
loop_
_atom_site_label
_atom_site_type_symbol
_atom_site_fract_x
_atom_site_fract_y
_atom_site_fract_z
Ca1 Ca 0.0000 0.0000 0.0000
Al1 Al 0.2522 0.7522 0.5000
Zn1 Zn 0.6143 0.6143 0.0000
Zn2 Zn 0.7559 0.2559 0.5000
Si1 Si 0.3945 0.3945 0.0000
```

The following is a PBE calculation of an optimized crystal structure of CaSm5Al3, from the Alexandria database.

- formation energy from the elements (kJ/mol of atoms) = -24
- V (Å³ per cell) = 504
- total magnetization (μB per cell) = 0.0

```
data_CaSm5Al3
_chemical_formula_sum 'Ca2 Sm10 Al6'
_symmetry_space_group_name_H-M 'P 1'
_symmetry_Int_Tables_number 1
_symmetry_space_group_name_Hall 'P 1'
_cell_length_a 9.2731
_cell_length_b 9.2731
_cell_length_c 6.7721
_cell_angle_alpha 90.00
_cell_angle_beta 90.00
_cell_angle_gamma 120.00
loop_
_atom_site_label
_atom_site_type_symbol
_atom_site_fract_x
_atom_site_fract_y
_atom_site_fract_z
Ca1 Ca 0.0000 0.0000 0.0000
Ca2 Ca 0.0000 0.0000 0.5000
Sm1 Sm 0.0000 0.3326 0.2500
Sm2 Sm 0.0000 0.6674 0.7500
Sm3 Sm 0.3326 0.0000 0.2500
Sm4 Sm 0.3326 0.3326 0.7500
Sm5 Sm 0.3333 0.6667 0.0000
Sm6 Sm 0.3333 0.6667 0.5000
Sm7 Sm 0.6674 0.0000 0.7500
Sm8 Sm 0.6667 0.3333 0.0000
Sm9 Sm 0.6667 0.3333 0.5000
Sm10 Sm 0.6674 0.6674 0.2500
Al1 Al 0.0000 0.3355 0.7500
Al2 Al 0.0000 0.6645 0.2500
Al3 Al 0.3355 0.0000 0.7500
Al4 Al 0.3355 0.3355 0.2500
Al5 Al 0.6645 0.0000 0.2500
Al6 Al 0.6645 0.6645 0.7500
```

The following is a PBE calculation of an optimized crystal structure of Ca3SmAl8, from the Alexandria database.

- formation energy from the elements (kJ/mol of atoms) = -36
- V (Å³ per cell) = 256
- distance to the lowest polymorph of the same formula (kJ/mol of atoms) = 0.00
- total magnetization (μB per cell) = 0.0

```
data_Ca3SmAl8
_chemical_formula_sum 'Ca3 Sm1 Al8'
_symmetry_space_group_name_H-M 'P 1'
_symmetry_Int_Tables_number 1
_symmetry_space_group_name_Hall 'P 1'
_cell_length_a 9.8305
_cell_length_b 9.8305
_cell_length_c 9.8305
_cell_angle_alpha 33.35
_cell_angle_beta 33.35
_cell_angle_gamma 33.35
loop_
_atom_site_label
_atom_site_type_symbol
_atom_site_fract_x
_atom_site_fract_y
_atom_site_fract_z
Ca1 Ca 0.0000 0.0000 0.0000
Ca2 Ca 0.1251 0.1251 0.1251
Ca3 Ca 0.6254 0.6254 0.6254
Sm1 Sm 0.4998 0.4998 0.4998
Al1 Al 0.0625 0.0625 0.5613
Al2 Al 0.0625 0.5613 0.0625
Al3 Al 0.0647 0.5622 0.5622
Al4 Al 0.3126 0.3126 0.3126
Al5 Al 0.5613 0.0625 0.0625
Al6 Al 0.5622 0.0647 0.5622
Al7 Al 0.5622 0.5622 0.0647
Al8 Al 0.8128 0.8128 0.8128
```

The following is a PBE calculation of an optimized crystal structure of CaSmAl6, from the Alexandria database.

- formation energy from the elements (kJ/mol of atoms) = -29
- V (Å³ per cell) = 166
- total magnetization (μB per cell) = 0.0

```
data_CaSmAl6
_chemical_formula_sum 'Ca1 Sm1 Al6'
_symmetry_space_group_name_H-M 'P 1'
_symmetry_Int_Tables_number 1
_symmetry_space_group_name_Hall 'P 1'
_cell_length_a 4.4823
_cell_length_b 6.0367
_cell_length_c 6.1509
_cell_angle_alpha 90.00
_cell_angle_beta 90.00
_cell_angle_gamma 90.00
loop_
_atom_site_label
_atom_site_type_symbol
_atom_site_fract_x
_atom_site_fract_y
_atom_site_fract_z
Ca1 Ca 0.0000 0.0000 0.0000
Sm1 Sm 0.5000 0.5000 0.2136
Al1 Al 0.0000 0.2475 0.4699
Al2 Al 0.0000 0.5000 0.8496
Al3 Al 0.0000 0.7525 0.4699
Al4 Al 0.5000 0.0000 0.3686
Al5 Al 0.5000 0.2565 0.7410
Al6 Al 0.5000 0.7435 0.7410
```

The following is a PBE calculation of an optimized crystal structure of Ca2SmAl, from the Alexandria database.

- formation energy from the elements (kJ/mol of atoms) = -8
- V (Å³ per cell) = 121
- distance to the lowest polymorph of the same formula (kJ/mol of atoms) = 0.00
- total magnetization (μB per cell) = 0.0

```
data_Ca2SmAl
_chemical_formula_sum 'Ca2 Sm1 Al1'
_symmetry_space_group_name_H-M 'P 1'
_symmetry_Int_Tables_number 1
_symmetry_space_group_name_Hall 'P 1'
_cell_length_a 4.8140
_cell_length_b 4.8140
_cell_length_c 5.2391
_cell_angle_alpha 90.00
_cell_angle_beta 90.00
_cell_angle_gamma 90.00
loop_
_atom_site_label
_atom_site_type_symbol
_atom_site_fract_x
_atom_site_fract_y
_atom_site_fract_z
Ca1 Ca 0.0000 0.5000 0.0000
Ca2 Ca 0.5000 0.0000 0.0000
Sm1 Sm 0.0000 0.0000 0.5000
Al1 Al 0.5000 0.5000 0.5000
```

The following is a PBE calculation of an optimized crystal structure of CaSm2Al, from the Alexandria database.

- formation energy from the elements (kJ/mol of atoms) = -13
- V (Å³ per cell) = 126
- distance to the lowest polymorph of the same formula (kJ/mol of atoms) = 0.00
- total magnetization (μB per cell) = 0.0

```
data_CaSm2Al
_chemical_formula_sum 'Ca1 Sm2 Al1'
_symmetry_space_group_name_H-M 'P 1'
_symmetry_Int_Tables_number 1
_symmetry_space_group_name_Hall 'P 1'
_cell_length_a 3.6849
_cell_length_b 3.6849
_cell_length_c 9.2924
_cell_angle_alpha 90.00
_cell_angle_beta 90.00
_cell_angle_gamma 90.00
loop_
_atom_site_label
_atom_site_type_symbol
_atom_site_fract_x
_atom_site_fract_y
_atom_site_fract_z
Ca1 Ca 0.0000 0.0000 0.0000
Sm1 Sm 0.5000 0.5000 0.3060
Sm2 Sm 0.5000 0.5000 0.6940
Al1 Al 0.0000 0.0000 0.5000
```